The following is a DFT calculation (GGA-PBE) of crystalline ScAgSb at its relaxed geometry.

Summary:
uncorrected energy	-4.81	eV per atom

```
data_ScAgSb
_space_group_name_H-M_alt 'P 1'
_space_group_IT_number 1
_space_group_name_Hall 'P 1'
_cell_length_a 4.501
_cell_length_b 4.501
_cell_length_c 3.817
_cell_angle_alpha 90.00
_cell_angle_beta 90.00
_cell_angle_gamma 120.00
loop_
_atom_site_label
_atom_site_fract_x
_atom_site_fract_y
_atom_site_fract_z
Sb1 0.667 0.333 0.279
Ag1 0.000 0.000 0.042
Sc1 0.333 0.667 0.679
```